1.
! Rb2ZrCuTe4 | Alexandria via LeMat-Bulk | PBE | optimized geometry; values from VASP
! E_tot ... -4.126 eV per atom
! Energy relative to the elements, uncorrected ... -733 meV/atom
! Space group ... Fddd, No. 70
&SYSTEM
  ibrav = 0, nat = 16, ntyp = 4
/
ATOMIC_SPECIES
Rb 85.47 Rb.upf
Zr 91.22 Zr.upf
Cu 63.55 Cu.upf
Te 127.60 Te.upf
ATOMIC_POSITIONS angstrom
Rb 3.139 0.000 8.595
Rb 6.277 0.000 4.804
Rb 7.846 3.823 11.504
Rb 7.846 3.823 1.896
Zr 7.846 3.823 6.700
Zr 0.000 0.000 0.000
Cu 4.708 3.823 6.700
Cu 3.139 0.000 0.000
Te 4.803 6.039 1.482
Te 4.803 1.606 11.917
Te 10.889 6.039 11.917
Te 4.612 1.606 1.482
Te 6.182 5.429 5.218
Te 6.182 2.216 8.182
Te 9.511 5.429 8.182
Te 3.234 2.216 5.218
CELL_PARAMETERS angstrom
6.277 0.000 0.000
3.139 7.645 0.000
3.139 0.000 13.400

2.
! RbTiCu3 | Alexandria via LeMat-Bulk | PBE | optimized geometry; values from VASP
! Formation enthalpy at 0 K ... 0.840 eV/atom
! E_tot ... -3.390 eV per atom
! Space group ... Pm-3m, No. 221
&SYSTEM
  ibrav = 0, nat = 5, ntyp = 3
/
ATOMIC_SPECIES
Cu 63.55 Cu.upf
Rb 85.47 Rb.upf
Ti 47.87 Ti.upf
ATOMIC_POSITIONS angstrom
Cu 0.000 2.503 0.000
Cu 0.000 0.000 2.503
Cu 2.503 0.000 0.000
Rb 2.503 2.503 2.503
Ti 0.000 0.000 0.000
CELL_PARAMETERS angstrom
5.007 0.000 0.000
0.000 5.007 0.000
0.000 0.000 5.007

3.
! Rb2Ti2Cu | Alexandria via LeMat-Bulk | PBE | optimized geometry; values from VASP
! Formation enthalpy at 0 K ... 1.398 eV/atom
! E_tot ... -2.966 eV per atom
! Space group ... I4/mmm, No. 139
&SYSTEM
  ibrav = 0, nat = 5, ntyp = 3
/
ATOMIC_SPECIES
Cu 63.55 Cu.upf
Rb 85.47 Rb.upf
Ti 47.87 Ti.upf
ATOMIC_POSITIONS angstrom
Cu 0.000 0.000 0.000
Rb 1.963 3.735 4.704
Rb 4.217 1.730 4.377
Ti 0.904 0.523 3.020
Ti 5.276 4.942 6.061
CELL_PARAMETERS angstrom
-2.017 1.778 3.343
2.489 -2.231 2.689
5.708 5.918 3.049

Question: What is the E_tot in the second record?
Answer: -3.390 eV per atom

Question: Which of these has the highest E_tot?
Answer: Rb2Ti2Cu